[1]
Entry from the Alexandria database: crystalline ScIn3 at its relaxed geometry (PBE).

Lattice parameters (Å, degrees): 5.449 5.449 3.433 90.00 90.00 109.35
Element x y z (fractional)
In  0.500  0.000  0.500
In  0.000  0.500  0.500
In  0.500  0.500  0.000
Sc  0.000  0.000  0.000

Computed properties:
The formation energy comes out at -0.22 eV per atom. As for the symmetry: Cmmm, No. 65.

=====

[2]
Entry from the Alexandria database: crystalline ScIn at its relaxed geometry (PBE).

Lattice parameters (Å, degrees): 3.334 3.334 10.110 90.00 90.00 120.00
Element x y z (fractional)
Sc  0.667  0.333  0.750
Sc  0.000  0.000  0.500
In  0.000  0.000  0.998
In  0.667  0.333  0.252

Computed properties:
The formation energy comes out at -0.15 eV per atom. As for the symmetry: P-3m1, No. 164.